Entry 1:
{
  "formula": "EuOsO3",
  "functional": "PBEsol",
  "state": "optimized geometry",
  "lattice_angstrom": [[3.9349, 0.0000, 0.0000], [0.0000, 3.9349, 0.0000], [0.0000, 0.0000, 3.9349]],
  "species": ["Os", "O", "O", "O", "Eu"],
  "frac_coords": [[0.0000, 0.0000, 0.0000], [0.0000, 0.0000, 0.5000], [0.0000, 0.5000, 0.0000], [0.5000, 0.0000, 0.0000], [0.5000, 0.5000, 0.5000]],
  "spacegroup": "No. 221",
  "formation_energy_uncorrected_mev_per_atom": -1673.2,
  "dft_energy_ev_per_fu": -46.9
}

Entry 2:
{
  "formula": "Sc2TcAs",
  "functional": "PBEsol",
  "state": "optimized geometry",
  "lattice_angstrom": [[3.5916, 0.0000, 0.0000], [0.0000, 3.5926, 0.0000], [0.0000, 0.0000, 5.5633]],
  "species": ["Sc", "Sc", "As", "Tc"],
  "frac_coords": [[0.0000, 0.0000, 0.9641], [0.5000, 0.5000, 0.2845], [0.5000, 0.5000, 0.7831], [0.0000, 0.0000, 0.4683]],
  "e_form_ev_per_atom": -0.25,
  "spacegroup": "No. 99",
  "dft_energy_ev_per_fu": -30.6
}

Entry 3:
{
  "formula": "InNi2Au2",
  "functional": "PBEsol",
  "state": "optimized geometry",
  "lattice_angstrom": [[3.7498, 0.0000, 0.0000], [0.0000, 3.7498, 0.0000], [-1.8749, -1.8749, 5.8343]],
  "species": ["Ni", "Ni", "Au", "Au", "In"],
  "frac_coords": [[0.4028, 0.4028, 0.8056], [0.5972, 0.5972, 0.1944], [0.7500, 0.2500, 0.5000], [0.2500, 0.7500, 0.5000], [0.0000, 0.0000, 0.0000]],
  "e_form_ev_per_atom": 0.19,
  "spacegroup": "No. 139",
  "dft_energy_ev_per_fu": -22.2
}

Entry 4:
{
  "formula": "Li6V2OF11",
  "functional": "PBEsol",
  "state": "optimized geometry",
  "lattice_angstrom": [[-0.3254, 1.2670, 4.8159], [4.4297, -0.5247, 3.0224], [4.7464, 7.0151, -1.5251]],
  "species": ["Li", "Li", "Li", "Li", "Li", "Li", "F", "F", "F", "F", "F", "F", "F", "F", "F", "F", "F", "V", "V", "O"],
  "frac_coords": [[0.9451, 0.0994, 0.3083], [0.5454, 0.9443, 0.1812], [0.7083, 0.5594, 0.5869], [0.0178, 0.9395, 0.6667], [0.7950, 0.3997, 0.9454], [0.2402, 0.5545, 0.0724], [0.7159, 0.2347, 0.7847], [0.7745, 0.7533, 0.0209], [0.8274, 0.7318, 0.3873], [0.2751, 0.7496, 0.5279], [0.6654, 0.2495, 0.1268], [0.2785, 0.7459, 0.2326], [0.3093, 0.7676, 0.8662], [0.2124, 0.2683, 0.2930], [0.7010, 0.2647, 0.4689], [0.7749, 0.7497, 0.7257], [0.2310, 0.2310, 0.9605], [0.4782, 0.0296, 0.8223], [0.2583, 0.4697, 0.4312], [0.2520, 0.2496, 0.6268]],
  "spacegroup": "No. 5",
  "formation_energy_uncorrected_mev_per_atom": -2907.4,
  "dft_energy_ev_per_fu": -115.7
}

Entry 5:
{
  "formula": "YBeNi3",
  "functional": "PBEsol",
  "state": "optimized geometry",
  "lattice_angstrom": [[4.0338, 0.0000, 0.0000], [0.0000, 4.0338, 0.0000], [0.0000, 0.0000, 4.0338]],
  "species": ["Y", "Ni", "Ni", "Ni", "Be"],
  "frac_coords": [[0.5000, 0.5000, 0.5000], [0.0000, 0.0000, 0.5000], [0.5000, 0.0000, 0.0000], [0.0000, 0.5000, 0.0000], [0.0000, 0.0000, 0.0000]],
  "e_form_ev_per_atom": -0.22,
  "spacegroup": "No. 221",
  "dft_energy_ev_per_fu": -30.4
}

Entry 6:
{
  "formula": "CrTc2Ag",
  "functional": "PBEsol",
  "state": "optimized geometry",
  "lattice_angstrom": [[-2.9213, -1.9675, 1.5183], [2.1901, -3.1456, 0.1378], [1.5185, 3.5106, 2.6264]],
  "species": ["Tc", "Tc", "Ag", "Cr"],
  "frac_coords": [[0.7500, 0.2500, 0.5000], [0.0000, 0.0000, 0.0000], [0.5000, 0.5000, 0.0000], [0.2500, 0.7500, 0.5000]],
  "e_form_ev_per_atom": 0.47,
  "spacegroup": "No. 119",
  "dft_energy_ev_per_fu": -34.2
}

Entry 7:
{
  "formula": "MgCuSi",
  "functional": "PBEsol",
  "state": "optimized geometry",
  "lattice_angstrom": [[-0.4097, -2.0502, 2.3800], [3.5482, 1.1444, 1.5966], [-3.4135, 1.9152, 1.0622]],
  "species": ["Cu", "Mg", "Si"],
  "frac_coords": [[0.5000, 0.0000, 0.0000], [0.0000, 0.3333, 0.6667], [0.5000, 0.6667, 0.3333]],
  "spacegroup": "No. 187",
  "formation_energy_uncorrected_mev_per_atom": -138.6,
  "dft_energy_ev_per_fu": -12.2
}

Entry 8:
{
  "formula": "FeMoP",
  "functional": "PBEsol",
  "state": "optimized geometry",
  "lattice_angstrom": [[-0.2531, -2.6850, 0.1890], [1.4955, 1.3471, 1.8048], [-4.7089, 0.6827, 3.3923]],
  "species": ["Mo", "P", "Fe"],
  "frac_coords": [[0.3333, 0.6667, 0.6665], [0.6667, 0.3333, 0.3051], [0.0000, 0.0000, 0.0284]],
  "e_form_ev_per_atom": -0.05,
  "spacegroup": "No. 156",
  "dft_energy_ev_per_fu": -26.7
}